CaCu2Os after structural relaxation. Source: the Alexandria database, functional PBE-GGA.

a = 4.7048 Å, b = 4.7048 Å, c = 5.5571 Å
α = 83.44°, β = 83.44°, γ = 33.00°
Atoms (fractional coordinates):
Cu (0.9882, 0.9882, 0.0643)
Cu (0.5118, 0.5118, 0.4357)
Os (0.2500, 0.2500, 0.2500)
Ca (0.7500, 0.7500, 0.7500)

DOS at the Fermi energy	0.82	states/eV/atom
total energy	-4.97	eV/atom
excess energy over the best structure of this formula in the dataset	0.037	eV/atom
mass density	8.92	Mg/m³
crystal system	monoclinic
spin magnetization	0.000	μB/f.u.
E_form	0.3851	eV/atom

=====

CaCuOs2 after structural relaxation. Source: the Alexandria database, functional PBE-GGA.

a = 5.7064 Å, b = 5.7064 Å, c = 4.5143 Å
α = 66.81°, β = 66.81°, γ = 28.64°
Atoms (fractional coordinates):
Os (0.5325, 0.5325, 0.4676)
Os (0.9675, 0.9675, 0.0324)
Cu (0.2500, 0.2500, 0.2500)
Ca (0.7500, 0.7500, 0.7500)

DOS at the Fermi energy	0.84	states/eV/atom
total energy	-6.72	eV/atom
excess energy over the best structure of this formula in the dataset	0.118	eV/atom
mass density	12.49	Mg/m³
crystal system	monoclinic
spin magnetization	0.000	μB/f.u.
E_form	0.4167	eV/atom

=====

CaCu2Os after structural relaxation. Source: the Alexandria database, functional PBE-GGA.

a = 3.2576 Å, b = 3.2576 Å, c = 6.2714 Å
α = 90.00°, β = 90.00°, γ = 90.00°
Atoms (fractional coordinates):
Cu (0.0000, 0.0000, 0.0573)
Cu (0.0000, 0.0000, 0.4427)
Ca (0.5000, 0.5000, 0.7500)
Os (0.5000, 0.5000, 0.2500)

DOS at the Fermi energy	1.02	states/eV/atom
total energy	-4.97	eV/atom
excess energy over the best structure of this formula in the dataset	0.039	eV/atom
mass density	8.92	Mg/m³
crystal system	tetragonal
spin magnetization	0.000	μB/f.u.
E_form	0.3868	eV/atom

=====

CaCuOs2 after structural relaxation. Source: the Alexandria database, functional PBE-GGA.

a = 2.6295 Å, b = 4.2499 Å, c = 6.0952 Å
α = 90.00°, β = 90.00°, γ = 90.00°
Atoms (fractional coordinates):
Os (0.0000, 0.0000, 0.9466)
Os (0.0000, 0.0000, 0.5534)
Ca (0.5000, 0.5000, 0.2500)
Cu (0.5000, 0.5000, 0.7500)

DOS at the Fermi energy	0.80	states/eV/atom
total energy	-6.50	eV/atom
excess energy over the best structure of this formula in the dataset	0.341	eV/atom
mass density	11.80	Mg/m³
crystal system	orthorhombic
spin magnetization	0.000	μB/f.u.
E_form	0.6399	eV/atom